Record 1
The following is a PBE-GGA calculation of a relaxed CaSe crystal, from Alexandria.

Structure (extended XYZ):
```
4
Lattice="2.4083 1.3904 6.7927 -2.4083 1.3904 6.7927 0.0000 -2.7809 6.7927" Properties=species:S:1:pos:R:3 pbc="T T T"
Ca 0.0000 0.0000 1.6065
Ca 0.0000 0.0000 18.7718
Se 0.0000 0.0000 6.7945
Se 0.0000 0.0000 13.5837
```

Summary:
E_tot = -3.43 eV per atom
ρ = 2.897 g/cm³
ΔE_f (raw) = -1.4 eV per formula unit

=====

Record 2
The following is a PBE-GGA calculation of a relaxed ZrCdTc2 crystal, from Alexandria.

Structure (extended XYZ):
```
4
Lattice="1.6327 -2.3524 0.0000 1.6327 2.3524 0.0000 0.0000 0.0000 9.1712" Properties=species:S:1:pos:R:3 pbc="T T T"
Zr 0.0000 0.0000 0.0000
Cd 0.0000 0.0000 4.5856
Tc 1.6327 0.0000 2.2099
Tc 1.6327 0.0000 6.9613
```

Summary:
energy of formation = 19.9 kJ/mol of atoms
E_tot = -7.34 eV per atom
ρ = 9.420 g/cm³

=====

Record 3
The following is a PBE-GGA calculation of a relaxed ZrReHgO6 crystal, from Alexandria.

Structure (extended XYZ):
```
9
Lattice="5.4244 0.0000 0.0000 -2.7122 4.6977 0.0000 0.0000 0.0000 5.0895" Properties=species:S:1:pos:R:3 pbc="T T T"
Zr 0.0000 0.0000 0.0000
Re 0.0000 3.1318 0.0000
Hg 2.7122 1.5659 2.5448
O -0.6397 1.6879 1.1003
O -1.5703 3.2997 3.9892
O 0.6397 1.6879 3.9892
O -0.9306 4.4077 1.1003
O 1.5703 3.2997 1.1003
O 0.9306 4.4077 3.9892
```

Summary:
E_tot = -7.43 eV per atom
ρ = 7.350 g/cm³
ΔE_f (raw) = -15.8 eV per formula unit

=====

Record 4
The following is a PBE-GGA calculation of a relaxed Sb2OsPdI crystal, from Alexandria.

Structure (extended XYZ):
```
5
Lattice="5.0175 0.0000 0.0000 0.0000 5.0175 0.0000 0.0000 0.0000 5.7540" Properties=species:S:1:pos:R:3 pbc="T T T"
Sb 0.0000 2.5088 0.0000
Sb 2.5088 0.0000 0.0000
Os 0.0000 0.0000 0.0000
Pd 2.5088 2.5088 2.8770
I 0.0000 0.0000 2.8770
```

Summary:
energy above the most stable polymorph in this dataset = 0 meV/atom
E_tot = -4.39 eV per atom
ρ = 7.647 g/cm³
ΔE_f (raw) = 4.2 eV per formula unit

=====

Record 5
The following is a PBE-GGA calculation of a relaxed Tb2Nd3Dy7 crystal, from Alexandria.

Structure (extended XYZ):
```
12
Lattice="6.3631 0.0000 0.0000 0.0000 3.5380 0.0000 -1.9110 0.0000 17.4759" Properties=species:S:1:pos:R:3 pbc="T T T"
Tb 0.0213 0.0000 3.0277
Tb 4.4307 0.0000 14.4482
Nd 1.2780 1.7690 14.6893
Nd 2.2260 0.0000 8.7379
Nd 3.1740 1.7690 2.7865
Dy -0.9555 1.7690 8.7379
Dy 0.1567 0.0000 11.6419
Dy -0.2971 0.0000 17.4650
Dy 1.0796 1.7690 5.8420
Dy 3.3725 1.7690 11.6339
Dy 4.7491 0.0000 0.0109
Dy 4.2953 0.0000 5.8339
```

Summary:
energy of formation = 8.0 kJ/mol of atoms
E_tot = -4.56 eV per atom
ρ = 7.969 g/cm³

=====

Record 6
The following is a PBE-GGA calculation of a relaxed GaHPtRh2 crystal, from Alexandria.

Structure (extended XYZ):
```
5
Lattice="3.9654 0.0000 0.0000 0.0000 3.9654 0.0000 0.0000 0.0000 3.8875" Properties=species:S:1:pos:R:3 pbc="T T T"
Ga 0.0000 0.0000 0.0000
H 1.9827 1.9827 1.9438
Pt 1.9827 1.9827 0.0000
Rh 0.0000 1.9827 1.9438
Rh 1.9827 0.0000 1.9438
```

Summary:
energy above the most stable polymorph in this dataset = 0 meV/atom
E_tot = -5.72 eV per atom
ρ = 12.812 g/cm³

=====

Record 7
The following is a PBE-GGA calculation of a relaxed ThMg2Cu crystal, from Alexandria.

Structure (extended XYZ):
```
4
Lattice="3.2992 0.0000 0.0000 0.0000 3.2992 0.0000 0.0000 0.0000 8.0790" Properties=species:S:1:pos:R:3 pbc="T T T"
Th 0.0000 0.0000 0.0000
Mg 1.6496 1.6496 2.5367
Mg 1.6496 1.6496 5.5423
Cu 0.0000 0.0000 4.0395
```

Summary:
energy of formation = 1.4 kJ/mol of atoms
E_tot = -3.66 eV per atom
ρ = 6.499 g/cm³

=====

Record 8
The following is a PBE-GGA calculation of a relaxed AcPm2In2 crystal, from Alexandria.

Structure (extended XYZ):
```
10
Lattice="-2.5260 2.5260 13.7330 2.5260 -2.5260 13.7330 2.5260 2.5260 -13.7330" Properties=species:S:1:pos:R:3 pbc="T T T"
Ac 0.0000 0.0000 3.5150
Ac 0.0000 0.0000 23.9511
Pm 2.5260 0.0000 6.8665
Pm 0.0000 0.0000 11.8619
Pm 0.0000 0.0000 15.6042
Pm 0.0000 2.5260 6.8665
In 2.5260 0.0000 0.0000
In 0.0000 0.0000 8.8296
In 0.0000 2.5260 0.0000
In 0.0000 0.0000 18.6365
```

Summary:
energy of formation = -17.7 kJ/mol of atoms
energy above the most stable polymorph in this dataset = 66 meV/atom
E_tot = -4.00 eV per atom
ρ = 7.075 g/cm³

=====

Record 9
The following is a PBE-GGA calculation of a relaxed Mg3Si4 crystal, from Alexandria.

Structure (extended XYZ):
```
14
Lattice="6.2109 0.0000 0.0000 0.0000 4.0875 0.0000 -1.4494 0.0000 9.9394" Properties=species:S:1:pos:R:3 pbc="T T T"
Mg 0.0000 0.0000 0.0000
Mg 5.4839 2.0437 4.9731
Mg 0.9029 0.0000 2.8852
Mg 1.0326 0.0000 8.6178
Mg 3.7271 0.0000 1.3175
Mg 3.8597 0.0000 7.0544
Si -0.7739 2.0437 7.9887
Si 1.8908 2.0437 0.7535
Si 1.3340 0.0000 5.5820
Si 1.5736 2.0437 6.9049
Si 3.1919 2.0437 3.0319
Si 3.4315 0.0000 4.3552
Si 2.8738 2.0437 9.1839
Si 5.5376 2.0437 1.9484
```

Summary:
energy above the most stable polymorph in this dataset = 58 meV/atom
E_tot = -3.67 eV per atom
ρ = 2.438 g/cm³
ΔE_f (raw) = 0.8 eV per formula unit

=====

Record 10
The following is a PBE-GGA calculation of a relaxed Mg2Sc crystal, from Alexandria.

Structure (extended XYZ):
```
3
Lattice="3.2181 0.0000 0.0000 -1.6091 2.7870 0.0000 0.0000 0.0000 7.9180" Properties=species:S:1:pos:R:3 pbc="T T T"
Mg 0.0000 1.8580 2.6475
Mg 1.6091 0.9290 5.2705
Sc 0.0000 0.0000 0.0000
```

Summary:
energy of formation = 1.9 kJ/mol of atoms
E_tot = -3.15 eV per atom
ρ = 2.188 g/cm³

=====

Record 11
The following is a PBE-GGA calculation of a relaxed Cs2CdIn4Bi3 crystal, from Alexandria.

Structure (extended XYZ):
```
10
Lattice="5.3033 0.0000 0.0000 0.0000 5.3033 0.0000 0.0000 0.0000 13.4787" Properties=species:S:1:pos:R:3 pbc="T T T"
Cs 0.0000 2.6517 3.3496
Cs 2.6517 0.0000 10.1291
Cd 2.6517 2.6517 0.0000
In 0.0000 0.0000 6.7394
In 0.0000 2.6517 11.8189
In 2.6517 0.0000 1.6598
In 2.6517 2.6517 6.7394
Bi 0.0000 0.0000 0.0000
Bi 0.0000 2.6517 8.4631
Bi 2.6517 0.0000 5.0156
```

Summary:
energy of formation = -17.1 kJ/mol of atoms
E_tot = -2.70 eV per atom
ρ = 6.415 g/cm³

=====

Record 12
The following is a PBE-GGA calculation of a relaxed CrReRu2 crystal, from Alexandria.

Structure (extended XYZ):
```
4
Lattice="0.0000 3.0348 3.0348 3.0348 0.0000 3.0348 3.0348 3.0348 0.0000" Properties=species:S:1:pos:R:3 pbc="T T T"
Cr 0.0000 0.0000 0.0000
Re 3.0348 3.0348 3.0348
Ru 1.5174 1.5174 1.5174
Ru 4.5522 4.5522 4.5522
```

Summary:
energy of formation = 40.1 kJ/mol of atoms
energy above the most stable polymorph in this dataset = 348 meV/atom
E_tot = -9.74 eV per atom
ρ = 13.080 g/cm³

=====

What is the E_tot in the tenth record? -3.15 eV per atom